1.
# TbTlZnF6

An optimized crystal structure of TbTlZnF6 (PBE, Alexandria).

Summary:
**Spin magnetization**: 0.00 μB per formula unit
**Raw formation energy**: -2.96 eV/atom

a = 7.6645 Å, b = 7.3346 Å, c = 7.4295 Å
α = 119.58°, β = 121.05°, γ = 90.00°
Closest atoms and distances in Å follow each position.
Fractional coordinates of all 18 atoms:
Tb: 0.5000 0.0000 0.5000  6 F 2.23-2.32
Tb: 0.0000 0.0000 0.5000  6 F 2.23-2.32
Tl: 0.8401 0.5901 0.6803  9 F 2.91-3.14
Tl: 0.1599 0.4099 0.3197  9 F 2.91-3.14
Zn: 0.5000 0.5000 0.0000  6 F 2.05-2.08
Zn: 0.5000 0.0000 0.0000  6 F 2.05-2.08
F: 0.5948 0.8448 0.1896  2 Zn 2.08
F: 0.8594 0.1094 0.7188  2 Tb 2.23
F: 0.8301 0.1479 0.2672  1 Zn 2.05
F: 0.4371 0.6193 0.2672  1 Zn 2.05
F: 0.4371 0.1479 0.2672  1 Zn 2.05
F: 0.8301 0.6193 0.2672  1 Zn 2.05
F: 0.4052 0.1552 0.8104  2 Zn 2.08
F: 0.1406 0.8906 0.2812  2 Tb 2.23
F: 0.1699 0.8521 0.7328  1 Zn 2.05
F: 0.5629 0.3807 0.7328  1 Zn 2.05
F: 0.5629 0.8521 0.7328  1 Zn 2.05
F: 0.1699 0.3807 0.7328  1 Zn 2.05

---

2.
# Tb3TmF

An optimized crystal structure of Tb3TmF (PBE, Alexandria).

Summary:
**Spin magnetization**: 0.00 μB per formula unit
**Raw formation energy**: -0.94 eV/atom

a = 5.0296 Å, b = 5.0296 Å, c = 5.0296 Å
α = 90.00°, β = 90.00°, γ = 90.00°
Closest atoms and distances in Å follow each position.
Fractional coordinates of all 5 atoms:
Tm: 0.5000 0.5000 0.5000  12 Tb 3.56
Tb: 0.0000 0.5000 0.0000  2 F 2.51
Tb: 0.0000 0.0000 0.5000  2 F 2.51
Tb: 0.5000 0.0000 0.0000  2 F 2.51
F: 0.0000 0.0000 0.0000  6 Tb 2.51